1.
## TbY4Pd4 (GGA-PBE)

Data for a relaxed TbY4Pd4 crystal.

V, A^3/atom: 25.98
Density of states at the Fermi level, states/eV per cell: 16.02
Energy, eV/atom: -6.355
Total magnetic moment, Bohr magnetons per cell: 0.000
Energy relative to the elements, eV/atom: -0.66

Structure (CIF):
```
data_TbY4Pd4
_chemical_formula_sum 'Tb2 Y8 Pd8'
_cell_length_a 8.9504
_cell_length_b 8.9504
_cell_length_c 5.8385
_cell_angle_alpha 90.00
_cell_angle_beta 90.00
_cell_angle_gamma 90.00
_symmetry_space_group_name_H-M 'P 42/n'
_symmetry_Int_Tables_number 86
loop_
_symmetry_equiv_pos_as_xyz
'x,y,z'
'-x,-y,-z'
'-y,x+1/2,z+1/2'
'y,-x+1/2,-z+1/2'
'-x+1/2,-y+1/2,z'
'x+1/2,y+1/2,-z'
'y+1/2,-x,z+1/2'
'-y+1/2,x,-z+1/2'
loop_
_atom_site_label
_atom_site_type_symbol
_atom_site_fract_x
_atom_site_fract_y
_atom_site_fract_z
_atom_site_occupancy
Tb1 Tb 0.2500 0.2500 0.2500 1
Y1 Y 0.0678 0.6604 0.1599 1
Pd1 Pd 0.0297 0.6267 0.6549 1
```

2.
## MnSi2Cl (GGA-PBE)

Data for a relaxed MnSi2Cl crystal.

Energy relative to the lowest polymorph listed for this composition, eV per formula unit: 1.40
V, A^3/atom: 16.13
Density of states at the Fermi level, states/eV per cell: 4.70
Energy, eV/atom: -5.139
Total magnetic moment, Bohr magnetons per cell: 5.069

Structure (CIF):
```
data_MnSi2Cl
_chemical_formula_sum 'Mn2 Si4 Cl2'
_cell_length_a 2.7370
_cell_length_b 4.9592
_cell_length_c 9.5081
_cell_angle_alpha 90.00
_cell_angle_beta 90.00
_cell_angle_gamma 90.00
_symmetry_space_group_name_H-M 'I m m 2'
_symmetry_Int_Tables_number 44
loop_
_symmetry_equiv_pos_as_xyz
'x,y,z'
'-x,-y,z'
'-x,y,z'
'x,-y,z'
'x+1/2,y+1/2,z+1/2'
'-x+1/2,-y+1/2,z+1/2'
'-x+1/2,y+1/2,z+1/2'
'x+1/2,-y+1/2,z+1/2'
loop_
_atom_site_label
_atom_site_type_symbol
_atom_site_fract_x
_atom_site_fract_y
_atom_site_fract_z
_atom_site_occupancy
Mn1 Mn 0.0000 0.0000 0.0000 1
Si1 Si 0.0000 0.0000 0.4609 1
Si2 Si 0.0000 0.5000 0.7107 1
Cl1 Cl 0.0000 0.5000 0.2864 1
```